Entry 1:
The following is a PBE calculation of an optimized crystal structure of Ge2AsPd, from Alexandria via LeMat-Bulk.

Unit cell a=5.8024 b=5.8024 c=11.2500 alpha=90.00 beta=90.00 gamma=90.00
Atoms (fractional coordinates):
1 Ge 0.2340 0.2500 0.1250
2 Ge 0.2500 0.7340 0.3750
3 Ge 0.2500 0.7660 0.8750
4 Ge 0.2660 0.2500 0.6250
5 Ge 0.7340 0.7500 0.6250
6 Ge 0.7500 0.2340 0.8750
7 Ge 0.7500 0.2660 0.3750
8 Ge 0.7660 0.7500 0.1250
9 As 0.0000 0.0000 0.5000
10 As 0.0000 0.5000 0.7500
11 As 0.5000 0.0000 0.2500
12 As 0.5000 0.5000 0.0000
13 Pd 0.0000 0.0000 0.0000
14 Pd 0.0000 0.5000 0.2500
15 Pd 0.5000 0.0000 0.7500
16 Pd 0.5000 0.5000 0.5000

The formation enthalpy at 0 K comes out at -0.022 eV per atom. The volume comes out at 23.673 Å³ per atom. As for the density of states at the Fermi level: 2.49 states/eV/f.u.


Entry 2:
The following is a PBE calculation of an optimized crystal structure of MnCrIn2Cl6, from Alexandria via LeMat-Bulk.

Unit cell a=7.0841 b=7.0841 c=5.0267 alpha=90.00 beta=90.00 gamma=90.00
Atoms (fractional coordinates):
1 Mn 0.0000 0.0000 0.0000
2 Cr 0.5000 0.5000 0.0046
3 In 0.0000 0.5000 0.4574
4 In 0.5000 0.0000 0.4574
5 Cl 0.0000 0.0000 0.5051
6 Cl 0.2505 0.2505 0.0118
7 Cl 0.2505 0.7495 0.0118
8 Cl 0.5000 0.5000 0.5065
9 Cl 0.7495 0.2505 0.0118
10 Cl 0.7495 0.7495 0.0118

For the electronic total energy, the calculation gives -4.45 eV/atom. The volume comes out at 25.226 Å³ per atom. As for the density of states at the Fermi level: 1.68 states/eV/f.u.


Entry 3:
The following is a PBE calculation of an optimized crystal structure of Ti5Sb2P2, from Alexandria via LeMat-Bulk.

Unit cell a=7.6005 b=7.6005 c=6.7410 alpha=90.00 beta=90.00 gamma=52.71
Atoms (fractional coordinates):
1 Ti 0.0000 0.0000 0.0000
2 Ti 0.0420 0.7293 0.6628
3 Ti 0.2293 0.5420 0.1628
4 Ti 0.2707 0.9580 0.6628
5 Ti 0.4580 0.7707 0.1628
6 Ti 0.5000 0.5000 0.5000
7 Ti 0.5420 0.2293 0.8372
8 Ti 0.7293 0.0420 0.3372
9 Ti 0.7707 0.4580 0.8372
10 Ti 0.9580 0.2707 0.3372
11 Sb 0.2090 0.2090 0.0000
12 Sb 0.2910 0.2910 0.5000
13 Sb 0.7090 0.7090 0.5000
14 Sb 0.7910 0.7910 0.0000
15 P 0.1379 0.8621 0.3657
16 P 0.3621 0.6379 0.8657
17 P 0.6379 0.3621 0.1343
18 P 0.8621 0.1379 0.6343

For the electronic total energy, the calculation gives -7.36 eV/atom. The volume comes out at 17.211 Å³ per atom. As for the density of states at the Fermi level: 4.82 states/eV/f.u.


Entry 4:
The following is a PBE calculation of an optimized crystal structure of Tb6TmTl2, from Alexandria via LeMat-Bulk.

Unit cell a=6.6756 b=6.6756 c=11.9252 alpha=107.17 beta=107.17 gamma=32.55
Atoms (fractional coordinates):
1 Tb 0.0159 0.0159 0.3443
2 Tb 0.3090 0.3090 0.4126
3 Tb 0.3170 0.3170 0.1233
4 Tb 0.6830 0.6830 0.8767
5 Tb 0.6910 0.6910 0.5874
6 Tb 0.9841 0.9841 0.6557
7 Tm 0.0000 0.0000 0.0000
8 Tl 0.3612 0.3612 0.7998
9 Tl 0.6388 0.6388 0.2002

The polymorph energy (0 for the lowest one) is 0 meV per atom. The formation enthalpy at 0 K comes out at -0.149 eV per atom. The volume comes out at 30.229 Å³ per atom. As for the density of states at the Fermi level: 11.15 states/eV/f.u.


Entry 5:
The following is a PBE calculation of an optimized crystal structure of Li2HgOs, from Alexandria via LeMat-Bulk.

Unit cell a=3.9512 b=3.9512 c=3.8352 alpha=90.00 beta=90.00 gamma=90.00
Atoms (fractional coordinates):
1 Li 0.0000 0.5000 0.0000
2 Li 0.5000 0.0000 0.0000
3 Hg 0.0000 0.0000 0.5000
4 Os 0.5000 0.5000 0.5000

The formation enthalpy at 0 K comes out at 0.338 eV per atom. The volume comes out at 14.969 Å³ per atom. As for the density of states at the Fermi level: 1.77 states/eV/f.u.


Entry 6:
The following is a PBE calculation of an optimized crystal structure of SiNiAu2, from Alexandria via LeMat-Bulk.

Unit cell a=3.4280 b=3.7830 c=5.0715 alpha=90.00 beta=109.62 gamma=90.00
Atoms (fractional coordinates):
1 Si 0.0000 0.0000 0.0000
2 Ni 0.8777 0.5000 0.7457
3 Au 0.2735 0.0000 0.5381
4 Au 0.5970 0.5000 0.1891

For the electronic total energy, the calculation gives -4.48 eV/atom. The volume comes out at 15.487 Å³ per atom. As for the density of states at the Fermi level: 1.25 states/eV/f.u.


Entry 7:
The following is a PBE calculation of an optimized crystal structure of LiHg2Au, from Alexandria via LeMat-Bulk.

Unit cell a=3.1961 b=4.8797 c=5.3953 alpha=90.00 beta=93.96 gamma=90.00
Atoms (fractional coordinates):
1 Li 0.0000 0.0000 0.0000
2 Hg 0.2731 0.5000 0.2417
3 Hg 0.7269 0.5000 0.7583
4 Au 0.5000 0.0000 0.5000

The formation enthalpy at 0 K comes out at -0.160 eV per atom. The volume comes out at 20.986 Å³ per atom. As for the density of states at the Fermi level: 0.83 states/eV/f.u.


Entry 8:
The following is a PBE calculation of an optimized crystal structure of CePaMo4, from Alexandria via LeMat-Bulk.

Unit cell a=5.5057 b=5.5057 c=5.5057 alpha=60.00 beta=60.00 gamma=60.00
Atoms (fractional coordinates):
1 Ce 0.0000 0.0000 0.0000
2 Pa 0.7500 0.7500 0.7500
3 Mo 0.3751 0.3751 0.3751
4 Mo 0.3751 0.3751 0.8748
5 Mo 0.3751 0.8748 0.3751
6 Mo 0.8748 0.3751 0.3751

The formation enthalpy at 0 K comes out at 0.131 eV per atom. The volume comes out at 19.668 Å³ per atom. As for the density of states at the Fermi level: 7.52 states/eV/f.u.


Entry 9:
The following is a PBE calculation of an optimized crystal structure of CdHg2Au2, from Alexandria via LeMat-Bulk.

Unit cell a=7.4416 b=7.4416 c=3.9405 alpha=90.00 beta=90.00 gamma=90.00
Atoms (fractional coordinates):
1 Cd 0.0000 0.0000 0.0000
2 Cd 0.5000 0.5000 0.0000
3 Hg 0.1645 0.3355 0.5000
4 Hg 0.3355 0.8355 0.5000
5 Hg 0.6645 0.1645 0.5000
6 Hg 0.8355 0.6645 0.5000
7 Au 0.1384 0.6384 0.0000
8 Au 0.3616 0.1384 0.0000
9 Au 0.6384 0.8616 0.0000
10 Au 0.8616 0.3616 0.0000

The polymorph energy (0 for the lowest one) is 0 meV per atom. The formation enthalpy at 0 K comes out at 0.018 eV per atom. The volume comes out at 21.822 Å³ per atom. As for the density of states at the Fermi level: 1.76 states/eV/f.u.


Entry 10:
The following is a PBE calculation of an optimized crystal structure of HoMgH, from Alexandria via LeMat-Bulk.

Unit cell a=3.5309 b=3.5309 c=5.7040 alpha=90.00 beta=90.00 gamma=120.00
Atoms (fractional coordinates):
1 Ho 0.0000 0.0000 0.0000
2 Mg 0.3333 0.6667 0.5021
3 H 0.6667 0.3333 0.0840

The polymorph energy (0 for the lowest one) is 33 meV per atom. The volume comes out at 20.529 Å³ per atom. As for the density of states at the Fermi level: 2.21 states/eV/f.u.


Entry 11:
The following is a PBE calculation of an optimized crystal structure of NaSrTm, from Alexandria via LeMat-Bulk.

Unit cell a=4.0777 b=4.0777 c=14.0848 alpha=90.00 beta=90.00 gamma=90.00
Atoms (fractional coordinates):
1 Na 0.2500 0.2500 0.0731
2 Na 0.7500 0.7500 0.9269
3 Sr 0.2500 0.2500 0.7378
4 Sr 0.7500 0.7500 0.2622
5 Tm 0.2500 0.2500 0.4385
6 Tm 0.7500 0.7500 0.5615

The formation enthalpy at 0 K comes out at 0.094 eV per atom. The volume comes out at 39.033 Å³ per atom. As for the density of states at the Fermi level: 2.35 states/eV/f.u.


Entry 12:
The following is a PBE calculation of an optimized crystal structure of Ce2Dy3Ho6Tm, from Alexandria via LeMat-Bulk.

Unit cell a=6.0991 b=6.0991 c=11.6683 alpha=95.00 beta=95.00 gamma=119.98
Atoms (fractional coordinates):
1 Ce 0.1664 0.8336 0.0000
2 Ce 0.8336 0.1664 0.0000
3 Dy 0.0000 0.0000 0.5000
4 Dy 0.3339 0.6661 0.5000
5 Dy 0.6661 0.3339 0.5000
6 Ho 0.0818 0.4166 0.7514
7 Ho 0.2484 0.2484 0.2488
8 Ho 0.4166 0.0818 0.7514
9 Ho 0.5834 0.9182 0.2486
10 Ho 0.7516 0.7516 0.7512
11 Ho 0.9182 0.5834 0.2486
12 Tm 0.5000 0.5000 0.0000

The formation enthalpy at 0 K comes out at 0.045 eV per atom. The volume comes out at 30.851 Å³ per atom. As for the density of states at the Fermi level: 21.03 states/eV/f.u.